DFT (GGA-PBE) results for a relaxed TbNd3Ho2 crystal.

The structure belongs to space group Immm (No. 71); the cell edges are 3.506, 5.937 and 19.640 Å and the angles 90.00°, 90.00° and 90.00°. The distinct sites, in fractional coordinates, are Tb at (0.000, 0.000, 0.000), Nd at (0.000, 0.000, 0.190), Nd at (0.000, 0.500, 0.000) and Ho at (0.000, 0.000, 0.363).

As for the calculated formation energy: 0.3460 eV per atom.



DFT (GGA-PBE) results for a relaxed Cd3AsRu crystal.

The structure belongs to space group Pm-3m (No. 221); the cell edges are 5.150, 5.150 and 5.150 Å and the angles 90.00°, 90.00° and 90.00°. The distinct sites, in fractional coordinates, are Cd at (0.000, 0.000, 0.500), As at (0.500, 0.500, 0.500) and Ru at (0.000, 0.000, 0.000).

As for the calculated formation energy: 0.8699 eV per atom.



DFT (GGA-PBE) results for a relaxed Ta2MoPb crystal.

The structure belongs to space group R-3m (No. 166, hexagonal axes); the cell edges are 3.1946, 3.1946 and 27.0707 Å and the angles 90.00°, 90.00° and 120.00°. The distinct sites, in fractional coordinates, are Ta at (0.0000, 0.0000, 0.2396), Mo at (0.0000, 0.0000, 0.5000) and Pb at (0.0000, 0.0000, 0.0000).

As for the calculated formation energy: 0.4124 eV per atom.



DFT (GGA-PBE) results for a relaxed AgBi2Pb8 crystal.

The structure belongs to space group C2/m (No. 12); the cell edges are 17.237, 7.011 and 6.142 Å and the angles 90.00°, 110.17° and 90.00°. The distinct sites, in fractional coordinates, are Ag at (0.000, 0.000, 0.000), Bi at (0.153, 0.000, 0.863), Pb at (0.072, 0.266, 0.377), Pb at (0.138, 0.500, 0.938) and Pb at (0.247, 0.000, 0.456).

As for the calculated formation energy: 0.0758 eV per atom.



DFT (GGA-PBE) results for a relaxed ErTm12Te7 crystal.

The structure belongs to space group R-3 (No. 148, hexagonal axes); the cell edges are 14.9489, 14.9489 and 9.5010 Å and the angles 90.00°, 90.00° and 120.00°. The distinct sites, in fractional coordinates, are Er at (0.0000, 0.0000, 0.0000), Tm at (0.0148, 0.4011, 0.7009), Tm at (0.0827, 0.8764, 0.3427), Te at (0.0000, 0.0000, 0.5000) and Te at (0.0827, 0.8907, 0.8274).

The calculation puts the uncorrected formation energy at -0.693 eV/atom.



DFT (GGA-PBE) results for a relaxed Cd3P2 crystal.

The structure belongs to space group R-3c (No. 167, hexagonal axes); the cell edges are 6.7632, 6.7632 and 17.9416 Å and the angles 90.00°, 90.00° and 120.00°. The distinct sites, in fractional coordinates, are Cd at (0.0000, 0.2974, 0.2500) and P at (0.0000, 0.0000, 0.1403).

As for the calculated formation energy: 0.0284 eV per atom.



| no. | size of the total moment (μB/f.u.) |
| --- | --- |
| 1 | 0.0 |
| 2 | 1.7 |
| 3 | 0.0 |
| 4 | 0.0 |
| 5 | 0.0 |
| 6 | 0.0 |